<one>
# KTaOs2 PBE optimized geometry
data_KTaOs2
_cell_length_a 4.627
_cell_length_b 4.627
_cell_length_c 4.627
_cell_angle_alpha 60.00
_cell_angle_beta 60.00
_cell_angle_gamma 60.00
_symmetry_space_group_name_H-M 'P 1'
_symmetry_Int_Tables_number 1
loop_
_symmetry_equiv_pos_as_xyz
'x,y,z'
loop_
_atom_site_label
_atom_site_type_symbol
_atom_site_fract_x
_atom_site_fract_y
_atom_site_fract_z
K1 K 0.000 0.000 0.000
Ta1 Ta 0.500 0.500 0.500
Os1 Os 0.250 0.250 0.250
Os2 Os 0.750 0.750 0.750
# - V (Å³/atom) = 17.5

***

<two>
# KTaOs2 PBE optimized geometry
data_KTaOs2
_cell_length_a 10.029
_cell_length_b 10.029
_cell_length_c 10.029
_cell_angle_alpha 17.20
_cell_angle_beta 17.20
_cell_angle_gamma 17.20
_symmetry_space_group_name_H-M 'P 1'
_symmetry_Int_Tables_number 1
loop_
_symmetry_equiv_pos_as_xyz
'x,y,z'
loop_
_atom_site_label
_atom_site_type_symbol
_atom_site_fract_x
_atom_site_fract_y
_atom_site_fract_z
K1 K 0.000 0.000 0.000
Ta1 Ta 0.500 0.500 0.500
Os1 Os 0.234 0.234 0.234
Os2 Os 0.766 0.766 0.766
# - V (Å³/atom) = 19.2

***

Most stable: <two>. Least stable: <one>.